Arrangement a

First-principles (PBE-GGA) data for a relaxed LiPAuO crystal, as listed in the Open Quantum Materials Database.

Unit cell a=4.011 b=4.011 c=9.043 alpha=90.00 beta=90.00 gamma=90.00
Fractional coordinates of all 8 atoms:
Li1 0.500 0.500 0.500
Au1 0.500 0.000 0.681
Li2 0.000 0.000 0.500
O1 0.000 0.000 0.000
P1 0.500 0.000 0.946
Au2 0.000 0.500 0.319
O2 0.500 0.500 0.000
P2 0.000 0.500 0.054

---

Arrangement b

First-principles (PBE-GGA) data for a relaxed LiPAuO crystal, as listed in the Open Quantum Materials Database.

Unit cell a=3.495 b=6.705 c=4.810 alpha=90.00 beta=90.00 gamma=90.00
Fractional coordinates of all 8 atoms:
Au1 0.500 0.289 0.935
Au2 0.500 0.711 0.435
Li1 0.000 0.328 0.410
O1 0.500 0.394 0.461
P1 0.000 0.947 0.448
Li2 0.000 0.672 0.910
O2 0.500 0.606 0.961
P2 0.000 0.053 0.948

---

So which one wins? Going from most stable to least: arrangement b, arrangement a.

---

Arrangement a

First-principles (PBE-GGA) data for a relaxed LiPAuO crystal, as listed in the Open Quantum Materials Database.

Unit cell a=4.023 b=4.023 c=6.577 alpha=90.00 beta=90.00 gamma=90.00
Fractional coordinates of all 8 atoms:
Li1 0.000 0.500 0.099
Li2 0.500 0.000 0.901
O1 0.500 0.500 0.000
P1 0.500 0.000 0.260
P2 0.000 0.500 0.740
Au1 0.000 0.000 0.500
Au2 0.500 0.500 0.500
O2 0.000 0.000 0.000

---

Arrangement b

First-principles (PBE-GGA) data for a relaxed LiPAuO crystal, as listed in the Open Quantum Materials Database.

Unit cell a=3.050 b=7.784 c=5.022 alpha=90.00 beta=90.00 gamma=90.00
Fractional coordinates of all 8 atoms:
P1 0.000 0.382 0.410
Au1 0.000 0.321 0.920
O1 0.500 0.116 0.895
Li1 0.500 0.097 0.530
Li2 0.500 0.903 0.030
P2 0.000 0.618 0.910
O2 0.500 0.884 0.395
Au2 0.000 0.679 0.420

---

So which one wins? Going from most stable to least: arrangement b, arrangement a.

---

Arrangement a

First-principles (PBE-GGA) data for a relaxed LiAuSO crystal, as listed in the Open Quantum Materials Database.

Unit cell a=5.721 b=6.160 c=6.901 alpha=90.00 beta=91.16 gamma=90.00
Fractional coordinates of all 16 atoms:
Au1 0.750 0.832 0.751
S1 0.127 0.971 0.750
O1 0.574 0.365 0.248
Au2 0.750 0.668 0.251
S2 0.873 0.029 0.250
Li1 0.324 0.751 0.501
S3 0.127 0.529 0.250
O2 0.426 0.635 0.752
Li2 0.676 0.249 0.499
O3 0.426 0.865 0.252
Au3 0.250 0.168 0.249
O4 0.574 0.135 0.748
Au4 0.250 0.332 0.749
Li3 0.676 0.251 0.999
Li4 0.324 0.749 0.001
S4 0.873 0.471 0.750

---

Arrangement b

First-principles (PBE-GGA) data for a relaxed LiAuSO crystal, as listed in the Open Quantum Materials Database.

Unit cell a=4.389 b=4.389 c=6.154 alpha=90.00 beta=90.00 gamma=90.00
Fractional coordinates of all 8 atoms:
S1 0.750 0.750 0.345
Li1 0.750 0.250 0.500
Au1 0.750 0.750 0.950
O1 0.250 0.750 0.000
Li2 0.250 0.750 0.500
O2 0.750 0.250 0.000
S2 0.250 0.250 0.655
Au2 0.250 0.250 0.050

---

Arrangement c

First-principles (PBE-GGA) data for a relaxed LiAuSO crystal, as listed in the Open Quantum Materials Database.

Unit cell a=3.630 b=6.911 c=4.648 alpha=90.00 beta=90.00 gamma=90.00
Fractional coordinates of all 8 atoms:
Au1 0.500 0.190 0.623
Li1 0.000 0.812 0.618
Au2 0.500 0.810 0.123
O1 0.500 0.876 0.624
Li2 0.000 0.188 0.118
O2 0.500 0.124 0.124
S1 0.000 0.547 0.125
S2 0.000 0.453 0.625

---

Arrangement d

First-principles (PBE-GGA) data for a relaxed LiAuSO crystal, as listed in the Open Quantum Materials Database.

Unit cell a=5.261 b=8.074 c=5.264 alpha=90.00 beta=90.00 gamma=90.00
Fractional coordinates of all 16 atoms:
Li1 0.750 0.000 0.375
Au1 0.500 0.655 0.125
S1 0.500 0.359 0.125
Li2 0.250 0.000 0.375
Li3 0.250 0.000 0.875
Au2 0.000 0.655 0.625
S2 0.000 0.359 0.625
S3 0.500 0.641 0.625
S4 0.000 0.641 0.125
Li4 0.750 0.000 0.875
Au3 0.500 0.345 0.625
O1 0.000 0.095 0.125
Au4 0.000 0.345 0.125
O2 0.500 0.905 0.125
O3 0.000 0.905 0.625
O4 0.500 0.095 0.625

---

So which one wins? Going from most stable to least: arrangement d, arrangement a, arrangement c, arrangement b.

---

Arrangement a

First-principles (PBE-GGA) data for a relaxed LiAuSeO crystal, as listed in the Open Quantum Materials Database.

Unit cell a=3.640 b=7.043 c=4.994 alpha=90.00 beta=90.00 gamma=90.00
Fractional coordinates of all 8 atoms:
O1 0.500 0.125 0.129
O2 0.500 0.875 0.629
Se1 0.000 0.554 0.127
Li1 0.000 0.175 0.111
Li2 0.000 0.825 0.611
Au1 0.500 0.177 0.624
Au2 0.500 0.823 0.124
Se2 0.000 0.446 0.627

---

Arrangement b

First-principles (PBE-GGA) data for a relaxed LiAuSeO crystal, as listed in the Open Quantum Materials Database.

Unit cell a=6.591 b=7.186 c=5.505 alpha=90.00 beta=93.39 gamma=90.00
Fractional coordinates of all 16 atoms:
O1 0.519 0.078 0.735
Au1 0.268 0.412 0.957
O2 0.481 0.922 0.265
Au2 0.732 0.912 0.543
Se1 0.973 0.686 0.387
Li1 0.434 0.844 0.908
Se2 0.973 0.814 0.887
Se3 0.027 0.186 0.113
Au3 0.732 0.588 0.043
Au4 0.268 0.088 0.457
Li2 0.566 0.344 0.592
Se4 0.027 0.314 0.613
Li3 0.566 0.156 0.092
O3 0.519 0.422 0.235
O4 0.481 0.578 0.765
Li4 0.434 0.656 0.408

---

Arrangement c

First-principles (PBE-GGA) data for a relaxed LiAuSeO crystal, as listed in the Open Quantum Materials Database.

Unit cell a=4.516 b=4.516 c=6.904 alpha=90.00 beta=90.00 gamma=90.00
Fractional coordinates of all 8 atoms:
Au1 0.750 0.750 0.986
O1 0.250 0.750 0.000
Li1 0.750 0.250 0.500
Li2 0.250 0.750 0.500
Au2 0.250 0.250 0.014
O2 0.750 0.250 0.000
Se1 0.750 0.750 0.354
Se2 0.250 0.250 0.646

---

So which one wins? Going from most stable to least: arrangement b, arrangement a, arrangement c.